[1]
Below is a geometry-optimized In2IrPt structure, with properties calculated at the PBE level.

Properties
As for the volume: 17.969 Å³/atom. The total energy comes out at -21.1 eV per cell. The mass density is 14.25 Mg/m³. For the polymorph energy (0 for the lowest one), the calculation gives 0.045 eV/atom. The value obtained for the energy of formation is -4.1 kcal/mol of atoms. The total moment is 0.0 μB/cell.

Cell lengths 5.291, 5.291, 4.689 Å; angles 74.79, 74.79, 34.71 degrees
Sites, in units of the cell vectors:
Ir (0.502, 0.502, 0.427)
In (0.007, 0.007, 0.929)
In (0.241, 0.241, 0.324)
Pt (0.751, 0.751, 0.819)

***

[2]
Below is a geometry-optimized CeCdInSn structure, with properties calculated at the PBE level.

Properties
As for the volume: 26.140 Å³/atom. The total energy comes out at -14.5 eV per cell. The mass density is 7.72 Mg/m³. For the polymorph energy (0 for the lowest one), the calculation gives 0.192 eV/atom. The value obtained for the energy of formation is -5.5 kcal/mol of atoms. The total moment is 0.7 μB/cell.

Cell lengths 5.288, 5.288, 5.288 Å; angles 60.00, 60.00, 60.00 degrees
Sites, in units of the cell vectors:
Ce (0.750, 0.750, 0.750)
In (0.500, 0.500, 0.500)
Cd (0.250, 0.250, 0.250)
Sn (0.000, 0.000, 0.000)

***

[3]
Below is a geometry-optimized HoZnRuAu structure, with properties calculated at the PBE level.

Properties
As for the volume: 17.963 Å³/atom. The total energy comes out at -19.6 eV per cell. The mass density is 12.21 Mg/m³. The value obtained for the energy of formation is -6.6 kcal/mol of atoms. The total moment is 0.0 μB/cell.

Cell lengths 4.666, 4.666, 4.666 Å; angles 60.00, 60.00, 60.00 degrees
Sites, in units of the cell vectors:
Ru (0.750, 0.750, 0.750)
Ho (0.500, 0.500, 0.500)
Au (0.250, 0.250, 0.250)
Zn (0.000, 0.000, 0.000)

***

[4]
Below is a geometry-optimized Re2TcTe structure, with properties calculated at the PBE level.

Properties
As for the volume: 16.720 Å³/atom. As for the formation energy without anion corrections: 50.8 kJ/mol of atoms. The total energy comes out at -36.3 eV per cell. The mass density is 14.85 Mg/m³. The total moment is 0.0 μB/cell.

Cell lengths 5.055, 5.055, 4.614 Å; angles 84.73, 84.73, 34.74 degrees
Sites, in units of the cell vectors:
Re (0.478, 0.478, 0.532)
Re (0.022, 0.022, 0.968)
Tc (0.750, 0.750, 0.750)
Te (0.250, 0.250, 0.250)

***

[5]
Below is a geometry-optimized RbSr2CaTl structure, with properties calculated at the PBE level.

Properties
As for the volume: 54.322 Å³/atom. The total energy comes out at -8.9 eV per cell. The mass density is 3.09 Mg/m³. The value obtained for the energy of formation is -1.1 kcal/mol of atoms. The total moment is 0.0 μB/cell.

Cell lengths 6.590, 6.590, 6.255 Å; angles 90.00, 90.00, 90.00 degrees
Sites, in units of the cell vectors:
Sr (0.000, 0.500, 0.000)
Sr (0.500, 0.000, 0.000)
Rb (0.500, 0.500, 0.500)
Ca (0.000, 0.000, 0.500)
Tl (0.000, 0.000, 0.000)

***

[6]
Below is a geometry-optimized La2ZnNi3P4 structure, with properties calculated at the PBE level.

Properties
As for the volume: 16.153 Å³/atom. The total energy comes out at -59.3 eV per cell. The mass density is 6.61 Mg/m³. The value obtained for the energy of formation is -21.2 kcal/mol of atoms. The total moment is 0.0 μB/cell.

Cell lengths 4.132, 4.132, 9.459 Å; angles 90.00, 90.00, 90.00 degrees
Sites, in units of the cell vectors:
P (0.000, 0.000, 0.000)
P (0.000, 0.500, 0.359)
P (0.500, 0.500, 0.000)
P (0.500, 0.000, 0.641)
Ni (0.000, 0.000, 0.500)
Ni (0.500, 0.000, 0.892)
Ni (0.000, 0.500, 0.108)
La (0.500, 0.000, 0.241)
La (0.000, 0.500, 0.759)
Zn (0.500, 0.500, 0.500)